No. 1
The following is a GGA-PBE calculation of a relaxed structure of BaMn2Si, from Alexandria via LeMat-Bulk. Values from VASP.

Quantum ESPRESSO input file:
```
&SYSTEM
  ibrav = 0, nat = 4, ntyp = 3
/
ATOMIC_SPECIES
Ba 137.33 Ba.upf
Mn 54.94 Mn.upf
Si 28.09 Si.upf
ATOMIC_POSITIONS angstrom
Ba 0.233 1.315 2.790
Mn 0.000 0.000 0.000
Mn -0.932 -2.006 2.162
Si -2.709 0.524 2.255
CELL_PARAMETERS angstrom
-1.544 3.845 2.883
-3.874 -2.797 1.628
4.719 -1.739 0.441
```

No. 2
The following is a GGA-PBE calculation of a relaxed structure of HoGa2Cu6, from Alexandria via LeMat-Bulk. Values from VASP.

Output
The calculation puts the energy of formation from the pure elements at -4.3 kJ/mol of atoms.

Quantum ESPRESSO input file:
```
&SYSTEM
  ibrav = 0, nat = 9, ntyp = 3
/
ATOMIC_SPECIES
Ho 164.93 Ho.upf
Ga 69.72 Ga.upf
Cu 63.55 Cu.upf
ATOMIC_POSITIONS angstrom
Ho 0.000 0.000 0.000
Ga 2.655 -8.857 1.218
Ga 1.787 -4.350 -0.248
Cu 2.875 -4.206 2.302
Cu 1.567 -9.001 -1.332
Cu 5.105 -7.663 0.684
Cu 1.264 -6.965 -0.061
Cu 3.178 -6.241 1.031
Cu -0.663 -5.544 0.286
CELL_PARAMETERS angstrom
-0.859 -1.828 2.721
-0.158 -6.751 -2.476
5.459 -4.627 0.725
```

| no. | total energy (eV/atom) |
| --- | --- |
| 1 | -5.734 |
| 2 | -3.957 |